Record 1
Here is a relaxed Nd3Dy6Ho2Th crystal from the Alexandria database. Energies are from PBE-GGA.

Its crystal system is monoclinic. As for the mass density: 8.4 Mg/m³. For the formation energy, the calculation gives 0.24 eV per formula unit. The calculation puts the total magnetization at 0.00 μB/atom. The total energy comes out at -4.85 eV/atom.

The structure belongs to space group C2/m (No. 12); the cell edges are 6.203, 10.738 and 11.840 Å and the angles 90.00°, 100.06° and 90.00°. Symmetry generates all atoms from Nd at (0.000, 0.000, 0.000), Nd at (0.000, 0.333, 0.000), Dy at (0.247, 0.500, 0.254), Dy at (0.248, 0.335, 0.746), Ho at (0.000, 0.167, 0.500) and Th at (0.000, 0.500, 0.500).

---

Record 2
Here is a relaxed SmHo3In4 crystal from the Alexandria database. Energies are from PBE-GGA.

Its crystal system is orthorhombic. As for the mass density: 8.0 Mg/m³. For the formation energy, the calculation gives -2.43 eV per formula unit. The calculation puts the total magnetization at 0.02 μB/atom. The total energy comes out at -3.98 eV/atom.

The structure belongs to space group Immm (No. 71); the cell edges are 3.437, 7.116 and 18.763 Å and the angles 90.00°, 90.00° and 90.00°. Symmetry generates all atoms from Sm at (0.000, 0.000, 0.000), Ho at (0.000, 0.000, 0.500), Ho at (0.000, 0.500, 0.280) and In at (0.000, 0.289, 0.128).